(P)
The following is a DFT calculation (PBE) of a geometry-optimized KZrPt structure.

Results
space group: F-43m (216)

Unit cell a=6.7968 b=6.7968 c=6.7968 alpha=90.00 beta=90.00 gamma=90.00
Element x y z (fractional)
K  0.0000  0.0000  0.0000
K  0.0000  0.5000  0.5000
K  0.5000  0.0000  0.5000
K  0.5000  0.5000  0.0000
Zr  0.0000  0.0000  0.5000
Zr  0.0000  0.5000  0.0000
Zr  0.5000  0.0000  0.0000
Zr  0.5000  0.5000  0.5000
Pt  0.2500  0.2500  0.2500
Pt  0.2500  0.7500  0.7500
Pt  0.7500  0.2500  0.7500
Pt  0.7500  0.7500  0.2500


(Q)
The following is a DFT calculation (PBE) of a geometry-optimized KZrPt structure.

Results
space group: F-43m (216)

Unit cell a=6.6170 b=6.6170 c=6.6170 alpha=90.00 beta=90.00 gamma=90.00
Element x y z (fractional)
K  0.0000  0.0000  0.0000
K  0.0000  0.5000  0.5000
K  0.5000  0.0000  0.5000
K  0.5000  0.5000  0.0000
Zr  0.2500  0.2500  0.2500
Zr  0.2500  0.7500  0.7500
Zr  0.7500  0.2500  0.7500
Zr  0.7500  0.7500  0.2500
Pt  0.2500  0.2500  0.7500
Pt  0.2500  0.7500  0.2500
Pt  0.7500  0.2500  0.2500
Pt  0.7500  0.7500  0.7500


Q: Which of them is the most stable? A: (P).


(P)
The following is a DFT calculation (PBE) of a geometry-optimized KPuTlTe3 structure.

Results
space group: P2_1/m (11)

Unit cell a=8.5675 b=4.5523 c=11.6722 alpha=90.00 beta=93.72 gamma=90.00
Element x y z (fractional)
K  0.2447  0.2500  0.4858
K  0.7553  0.7500  0.5142
Pu  0.4177  0.7500  0.8352
Pu  0.5823  0.2500  0.1648
Tl  0.0668  0.7500  0.1533
Tl  0.9332  0.2500  0.8467
Te  0.1117  0.7500  0.6958
Te  0.2967  0.2500  0.9889
Te  0.4349  0.7500  0.2979
Te  0.5651  0.2500  0.7021
Te  0.7033  0.7500  0.0111
Te  0.8883  0.2500  0.3042


(Q)
The following is a DFT calculation (PBE) of a geometry-optimized KPuTlTe3 structure.

Results
space group: Cmcm (63)

Unit cell a=8.5490 b=8.5490 c=13.0301 alpha=90.00 beta=90.00 gamma=149.31
Element x y z (fractional)
K  0.1684  0.8316  0.7500
K  0.8316  0.1684  0.2500
Pu  0.5000  0.5000  0.0000
Pu  0.5000  0.5000  0.5000
Tl  0.1370  0.8630  0.2500
Tl  0.8630  0.1370  0.7500
Te  0.1237  0.8763  0.9997
Te  0.1237  0.8763  0.5003
Te  0.4971  0.5029  0.7500
Te  0.5029  0.4971  0.2500
Te  0.8763  0.1237  0.0003
Te  0.8763  0.1237  0.4997


Q: Which of them is the most stable? A: (P).


(P)
The following is a DFT calculation (PBE) of a geometry-optimized KRbSm2Sb2 structure.

Results
space group: P4mm (99)

Unit cell a=5.3145 b=5.3145 c=8.6315 alpha=90.00 beta=90.00 gamma=90.00
Element x y z (fractional)
K  0.0000  0.0000  0.0000
Rb  0.5000  0.5000  0.7347
Sm  0.0000  0.5000  0.3638
Sm  0.5000  0.0000  0.3638
Sb  0.0000  0.0000  0.5633
Sb  0.5000  0.5000  0.1670


(Q)
The following is a DFT calculation (PBE) of a geometry-optimized KRbSm2Sb2 structure.

Results
space group: P3m1 (156)

Unit cell a=4.7580 b=4.7580 c=15.0812 alpha=90.00 beta=90.00 gamma=120.00
Element x y z (fractional)
K  0.0000  0.0000  0.0000
Rb  0.6667  0.3333  0.4954
Sm  0.3333  0.6667  0.2344
Sm  0.3333  0.6667  0.7485
Sb  0.0000  0.0000  0.6647
Sb  0.6667  0.3333  0.1502


Q: Which of them is the most stable? A: (P).


(P)
The following is a DFT calculation (PBE) of a geometry-optimized KRbZrSe3 structure.

Results
space group: P2_1/m (11)

Unit cell a=8.1051 b=4.0569 c=11.1781 alpha=90.00 beta=94.93 gamma=90.00
Element x y z (fractional)
K  0.0831  0.2500  0.1440
K  0.9169  0.7500  0.8560
Rb  0.2473  0.7500  0.4806
Rb  0.7527  0.2500  0.5194
Zr  0.3995  0.2500  0.8339
Zr  0.6005  0.7500  0.1661
Se  0.1264  0.2500  0.7029
Se  0.3091  0.7500  0.9872
Se  0.4527  0.2500  0.2824
Se  0.5473  0.7500  0.7176
Se  0.6909  0.2500  0.0128
Se  0.8736  0.7500  0.2971


(Q)
The following is a DFT calculation (PBE) of a geometry-optimized KRbZrSe3 structure.

Results
space group: Cmcm (63)

Unit cell a=10.0636 b=10.0636 c=11.7922 alpha=90.00 beta=90.00 gamma=156.94
Element x y z (fractional)
K  0.1166  0.8834  0.7500
K  0.8834  0.1166  0.2500
Rb  0.1401  0.8599  0.2500
Rb  0.8599  0.1401  0.7500
Zr  0.5000  0.5000  0.0000
Zr  0.5000  0.5000  0.5000
Se  0.0929  0.9071  0.5020
Se  0.0929  0.9071  0.9980
Se  0.4939  0.5061  0.7500
Se  0.5061  0.4939  0.2500
Se  0.9071  0.0929  0.0020
Se  0.9071  0.0929  0.4980


(R)
The following is a DFT calculation (PBE) of a geometry-optimized KRbZrSe3 structure.

Results
space group: Pnma (62)

Unit cell a=13.5785 b=4.0481 c=13.6438 alpha=90.00 beta=90.00 gamma=90.00
Element x y z (fractional)
K  0.1970  0.2500  0.2286
K  0.3030  0.7500  0.7286
K  0.6970  0.2500  0.2714
K  0.8030  0.7500  0.7714
Rb  0.1403  0.2500  0.5146
Rb  0.3597  0.7500  0.0146
Rb  0.6403  0.2500  0.9854
Rb  0.8597  0.7500  0.4854
Zr  0.0634  0.7500  0.8756
Zr  0.4366  0.2500  0.3756
Zr  0.5634  0.7500  0.6244
Zr  0.9366  0.2500  0.1244
Se  0.0408  0.7500  0.6903
Se  0.0716  0.7500  0.0875
Se  0.2005  0.2500  0.8893
Se  0.2995  0.7500  0.3893
Se  0.4284  0.2500  0.5875
Se  0.4592  0.2500  0.1903
Se  0.5408  0.7500  0.8097
Se  0.5716  0.7500  0.4125
Se  0.7005  0.2500  0.6107
Se  0.7995  0.7500  0.1107
Se  0.9284  0.2500  0.9125
Se  0.9592  0.2500  0.3097


Q: Which of them is the most stable? A: (P).


(P)
The following is a DFT calculation (PBE) of a geometry-optimized K2Re structure.

Results
space group: P6_3/mmc (194)

Unit cell a=6.9981 b=6.9981 c=12.7583 alpha=90.00 beta=90.00 gamma=120.00
Element x y z (fractional)
K  0.0000  0.0000  0.0000
K  0.0000  0.0000  0.5000
K  0.1744  0.3488  0.2500
K  0.1744  0.8256  0.2500
K  0.3488  0.1744  0.7500
K  0.6512  0.8256  0.2500
K  0.8256  0.1744  0.7500
K  0.8256  0.6512  0.7500
Re  0.3333  0.6667  0.6688
Re  0.3333  0.6667  0.8312
Re  0.6667  0.3333  0.1688
Re  0.6667  0.3333  0.3312


(Q)
The following is a DFT calculation (PBE) of a geometry-optimized K2Re structure.

Results
space group: Fd-3m (227)

Unit cell a=10.3953 b=10.3953 c=10.3953 alpha=60.00 beta=60.00 gamma=60.00
Element x y z (fractional)
K  0.0000  0.0000  0.0000
K  0.0000  0.0000  0.5000
K  0.0000  0.5000  0.0000
K  0.5000  0.0000  0.0000
Re  0.1250  0.1250  0.1250
Re  0.8750  0.8750  0.8750


Q: Which of them is the most stable? A: (P).


(P)
The following is a DFT calculation (PBE) of a geometry-optimized KTmSnS3 structure.

Results
space group: Pnma (62)

Unit cell a=14.7950 b=3.9863 c=11.8330 alpha=90.00 beta=90.00 gamma=90.00
Element x y z (fractional)
K  0.2329  0.2500  0.1077
K  0.2671  0.7500  0.6077
K  0.7329  0.2500  0.3923
K  0.7671  0.7500  0.8923
Tm  0.0030  0.7500  0.6405
Tm  0.4970  0.2500  0.1405
Tm  0.5030  0.7500  0.8595
Tm  0.9970  0.2500  0.3595
Sn  0.0457  0.2500  0.9042
Sn  0.4543  0.7500  0.4042
Sn  0.5457  0.2500  0.5958
Sn  0.9543  0.7500  0.0958
S  0.0836  0.7500  0.2369
S  0.0995  0.2500  0.5439
S  0.1314  0.7500  0.8107
S  0.3686  0.2500  0.3107
S  0.4005  0.7500  0.0439
S  0.4164  0.2500  0.7369
S  0.5836  0.7500  0.2631
S  0.5995  0.2500  0.9561
S  0.6314  0.7500  0.6893
S  0.8686  0.2500  0.1893
S  0.9005  0.7500  0.4561
S  0.9164  0.2500  0.7631


(Q)
The following is a DFT calculation (PBE) of a geometry-optimized KTmSnS3 structure.

Results
space group: Cmcm (63)

Unit cell a=8.4693 b=8.4693 c=11.1713 alpha=90.00 beta=90.00 gamma=153.30
Element x y z (fractional)
K  0.1766  0.8234  0.7500
K  0.8234  0.1766  0.2500
Tm  0.5000  0.5000  0.0000
Tm  0.5000  0.5000  0.5000
Sn  0.1217  0.8783  0.2500
Sn  0.8783  0.1217  0.7500
S  0.1107  0.8893  0.0022
S  0.1107  0.8893  0.4978
S  0.4867  0.5133  0.7500
S  0.5133  0.4867  0.2500
S  0.8893  0.1107  0.5022
S  0.8893  0.1107  0.9978


Q: Which of them is the most stable? A: (P).


(P)
The following is a DFT calculation (PBE) of a geometry-optimized K4Ta2S11 structure.

Results
space group: Pca2_1 (29)

Unit cell a=13.3148 b=7.5053 c=18.1605 alpha=90.00 beta=90.00 gamma=90.00
Element x y z (fractional)
K  0.0394  0.2092  0.0000
K  0.0872  0.1825  0.6989
K  0.2146  0.7999  0.8491
K  0.2297  0.6623  0.1005
K  0.2703  0.6623  0.6005
K  0.2854  0.7999  0.3491
K  0.4128  0.1825  0.1989
K  0.4606  0.2092  0.5000
K  0.5394  0.7908  0.0000
K  0.5873  0.8175  0.6989
K  0.7146  0.2001  0.8491
K  0.7297  0.3377  0.1005
K  0.7703  0.3377  0.6005
K  0.7854  0.2001  0.3491
K  0.9128  0.8175  0.1989
K  0.9606  0.7908  0.5000
Ta  0.0609  0.2607  0.2562
Ta  0.1189  0.2060  0.4409
Ta  0.3811  0.2060  0.9409
Ta  0.4391  0.2607  0.7562
Ta  0.5609  0.7393  0.2562
Ta  0.6189  0.7940  0.4409
Ta  0.8811  0.7940  0.9409
Ta  0.9391  0.7393  0.7562
S  0.0176  0.4682  0.3580
S  0.0199  0.0285  0.3498
S  0.0471  0.7546  0.9966
S  0.0641  0.4023  0.5459
S  0.0849  0.7470  0.6934
S  0.0977  0.5805  0.2705
S  0.1603  0.0173  0.2013
S  0.1787  0.2616  0.1484
S  0.1866  0.9767  0.5039
S  0.2378  0.4089  0.9238
S  0.2410  0.2303  0.3369
S  0.2590  0.2303  0.8369
S  0.2622  0.4089  0.4238
S  0.3134  0.9767  0.0039
S  0.3213  0.2616  0.6484
S  0.3397  0.0173  0.7013
S  0.4023  0.5805  0.7705
S  0.4151  0.7470  0.1934
S  0.4359  0.4023  0.0459
S  0.4529  0.7546  0.4966
S  0.4801  0.0285  0.8498
S  0.4824  0.4682  0.8580
S  0.5176  0.5318  0.3580
S  0.5199  0.9715  0.3498
S  0.5471  0.2454  0.9966
S  0.5641  0.5977  0.5459
S  0.5849  0.2530  0.6934
S  0.5977  0.4195  0.2705
S  0.6603  0.9827  0.2013
S  0.6787  0.7384  0.1484
S  0.6866  0.0233  0.5039
S  0.7378  0.5911  0.9238
S  0.7410  0.7697  0.3369
S  0.7590  0.7697  0.8369
S  0.7622  0.5911  0.4238
S  0.8134  0.0233  0.0039
S  0.8213  0.7384  0.6484
S  0.8397  0.9827  0.7013
S  0.9023  0.4195  0.7705
S  0.9151  0.2530  0.1934
S  0.9359  0.5977  0.0459
S  0.9529  0.2454  0.4966
S  0.9801  0.9715  0.8498
S  0.9824  0.5318  0.8580


(Q)
The following is a DFT calculation (PBE) of a geometry-optimized K4Ta2S11 structure.

Results
space group: P-1 (2)

Unit cell a=7.5291 b=11.5261 c=11.6639 alpha=68.63 beta=87.15 gamma=83.39
Element x y z (fractional)
K  0.0359  0.3024  0.1693
K  0.2391  0.8651  0.5076
K  0.2574  0.8352  0.0604
K  0.2907  0.4618  0.3871
K  0.7093  0.5382  0.6129
K  0.7426  0.1648  0.9396
K  0.7609  0.1349  0.4924
K  0.9641  0.6976  0.8307
Ta  0.1540  0.3644  0.8019
Ta  0.2454  0.1403  0.6617
Ta  0.7546  0.8597  0.3383
Ta  0.8460  0.6356  0.1981
S  0.0026  0.0074  0.7471
S  0.0119  0.3170  0.6356
S  0.1041  0.5785  0.1144
S  0.1696  0.1317  0.9065
S  0.2167  0.5620  0.6352
S  0.2568  0.9061  0.7625
S  0.2708  0.1595  0.4611
S  0.3248  0.2237  0.9835
S  0.3425  0.5267  0.8034
S  0.4456  0.2978  0.6684
S  0.4479  0.8901  0.2643
S  0.5521  0.1099  0.7357
S  0.5544  0.7022  0.3316
S  0.6575  0.4733  0.1966
S  0.6752  0.7763  0.0165
S  0.7292  0.8405  0.5389
S  0.7432  0.0939  0.2375
S  0.7833  0.4380  0.3648
S  0.8304  0.8683  0.0935
S  0.8959  0.4215  0.8856
S  0.9881  0.6830  0.3644
S  0.9974  0.9926  0.2529


Q: Which of them is the most stable? A: (Q).